Na2ZrCoO4: optimized geometry, GGA+U.

## Properties
E (eV per atom): -6.63
Space group: P2/m, No. 10
Total magnetic moment (μB/cell): 3.0

a b c (Å): 5.467 3.203 5.827
angles (deg): 90.00 109.10 90.00
Sites, in units of the cell vectors:
1 Na 0.000 0.000 0.000
2 Na 0.500 0.500 0.000
3 Zr 0.000 0.500 0.500
4 Co 0.500 0.000 0.500
5 O 0.223 0.000 0.715
6 O 0.260 0.500 0.298
7 O 0.740 0.500 0.702
8 O 0.777 0.000 0.285